A plane-wave DFT calculation with GGA-PBE was carried out for Li4Ce3CoS8 after structural relaxation.

Formation energy from raw total energies: -1.428 eV per atom
Raw total energy: -88.42 eV for the cell shown
Volume: 20.10 Å³/atom
Space-group type: C2/m (12)

Cell: 7.761 7.621 7.764 Å, 120.63 119.99 90.00°
Last column: magnetic moment on the atom in μB.
Sites, in units of the cell vectors:
1 Li 0.500 0.000 0.000  0.01
2 Li 0.000 0.000 0.500  0.00
3 Li 0.500 0.000 0.500  0.00
4 Li 0.000 0.000 0.000  0.00
5 S 0.765 0.746 0.005  0.01
6 S 0.242 0.747 0.484  0.01
7 S 0.235 0.254 0.995  0.01
8 S 0.241 0.746 0.005  0.01
9 S 0.759 0.254 0.995  0.01
10 S 0.758 0.253 0.516  0.01
11 S 0.246 0.237 0.491  -0.01
12 S 0.754 0.763 0.509  -0.01
13 Ce 0.500 0.500 0.000  0.38
14 Ce 0.000 0.500 0.500  0.38
15 Ce 0.500 0.500 0.500  0.38
16 Co 0.000 0.500 0.000  2.04


A plane-wave DFT calculation with GGA-PBE was carried out for CsHg4H4 after structural relaxation.

Raw total energy: -27.61 eV for the cell shown
Volume: 20.91 Å³/atom
Space-group type: P4_2/n (86)

Cell: 3.814 9.935 9.935 Å, 90.00 90.00 90.00°
Sites, in units of the cell vectors:
1 Hg 0.975 0.657 0.824
2 Hg 0.975 0.343 0.176
3 Hg 0.475 0.324 0.843
4 Hg 0.025 0.824 0.343
5 Hg 0.525 0.843 0.676
6 Hg 0.525 0.157 0.324
7 Hg 0.025 0.176 0.657
8 Hg 0.475 0.676 0.157
9 H 0.742 0.308 0.001
10 H 0.242 0.501 0.192
11 H 0.242 0.499 0.808
12 H 0.742 0.692 0.999
13 H 0.258 0.999 0.308
14 H 0.258 0.001 0.692
15 H 0.758 0.192 0.499
16 H 0.758 0.808 0.501
17 Cs 0.000 0.000 0.000
18 Cs 0.500 0.500 0.500


Which formula does entry 2 have?
CsHg4H4